DFT (PBE) results for a relaxed Ho2Si2O5 crystal.

Symmetry ... P4/mmm
Energy above the lowest structure with this stoichiometry ... 0 meV per atom
Theoretical density ... 8.1 g/cm³

abc: 6.387 3.875 3.875
angles: 90.00 90.00 90.00
Fractional coordinates of all 9 atoms:
Si: 0.779 0.500 0.500
Si: 0.221 0.500 0.500
O: 0.760 0.500 0.000
O: 0.760 0.000 0.500
O: 0.500 0.500 0.500
O: 0.240 0.500 0.000
O: 0.240 0.000 0.500
Ho: 0.000 0.000 0.000
Ho: 0.500 0.000 0.000